First-principles (PBE with a Hubbard U) data for an optimized crystal structure of Ni2SnF, as listed in Alexandria.

The density of states at the Fermi level comes out at 0.88 states/eV/f.u. The value obtained for the total energy is -11.450 eV/f.u. As for the symmetry: No. 122.

Structure (POSCAR):
```
Ni2SnF
1.0
-5.564 2.267 -2.913
2.121 -2.350 -5.879
-2.981 -2.469 -3.880
Ni Sn F
4 2 2
Direct
0.561 0.125 0.250
0.189 0.625 0.250
0.375 0.439 0.750
0.875 0.811 0.750
0.000 0.000 0.000
0.750 0.250 0.500
0.500 0.500 0.000
0.250 0.750 0.500
```